Entry 1:
KLiSc2 at its PBEsol-relaxed geometry, computed with SCAN.

abc: 7.7479 7.7479 7.7479
angles: 90.00 90.00 90.00
Space group F-43m (No. 216)
One atom of each set of equivalent atoms:
K: 0.0000 0.0000 0.0000 (multiplicity 4)
Li: 0.2500 0.2500 0.7500 (multiplicity 4)
Sc: 0.0000 0.0000 0.5000 (multiplicity 4)
Sc: 0.2500 0.2500 0.2500 (multiplicity 4)

***

Entry 2:
KLi3Sc at its PBEsol-relaxed geometry, computed with SCAN.

abc: 5.7814 5.7814 5.7814
angles: 90.00 90.00 90.00
Space group Pm-3m (No. 221)
One atom of each set of equivalent atoms:
K: 0.0000 0.0000 0.0000 (multiplicity 1)
Li: 0.0000 0.5000 0.5000 (multiplicity 3)
Sc: 0.5000 0.5000 0.5000 (multiplicity 1)

***

no.,theoretical density (g/cm³),total energy (eV per formula unit),E above lowest polymorph (eV per atom)
1,1.94,-36.2,0.2593
2,0.90,-26.4,0.0000